Entry 1:
VASP calculation (GGA-PBE) on an optimized crystal structure of Li3Cd2Pb.

Fermi-level density of states	0.376	states/eV per atom
formation energy from the elements	-0.26	eV per atom
SG	P4/mmm, No. 123

abc: 3.448 3.448 9.959
angles: 90.00 90.00 90.00
Element x y z (fractional)
Li 0.000 0.000 0.000
Li 0.000 0.000 0.321
Li 0.000 0.000 0.679
Cd 0.500 0.500 0.157
Cd 0.500 0.500 0.843
Pb 0.500 0.500 0.500

Entry 2:
VASP calculation (GGA-PBE) on an optimized crystal structure of Li7Cd2Pb.

Fermi-level density of states	0.577	states/eV per atom
formation energy from the elements	0.03	eV per atom
polymorph energy (0 for the lowest one)	173	meV/atom
SG	Cmmm, No. 65

abc: 8.287 8.287 4.321
angles: 90.00 90.00 126.92
Element x y z (fractional)
Li 0.000 0.000 0.000
Li 0.214 0.422 0.000
Li 0.306 0.694 0.500
Li 0.422 0.214 0.000
Li 0.578 0.786 0.000
Li 0.694 0.306 0.500
Li 0.786 0.578 0.000
Cd 0.198 0.802 0.000
Cd 0.802 0.198 0.000
Pb 0.500 0.500 0.500